Computed, not measured: an optimized crystal structure of La6NdHo12 at the GGA-PBE level of DFT.

Output
* DOS(E_F): 35.65 states/eV/f.u.
* spin magnetization: 0.000 μB per atom
* calculated total energy: -4.527 eV per atom
* E above lowest polymorph: 0.00 eV/f.u.

Geometry as CIF:
```
data_La6NdHo12
_chemical_formula_sum 'La18 Nd3 Ho36'
_cell_length_a 12.3304
_cell_length_b 12.3304
_cell_length_c 14.6352
_cell_angle_alpha 90.00
_cell_angle_beta 90.00
_cell_angle_gamma 120.00
_symmetry_space_group_name_H-M 'R -3'
_symmetry_Int_Tables_number 148
_symmetry_space_group_name_Hall '-R 3'
loop_
_atom_site_label
_atom_site_type_symbol
_atom_site_fract_x
_atom_site_fract_y
_atom_site_fract_z
_atom_site_occupancy
La1 La 0.0242 0.4423 0.2210 1
Nd1 Nd 0.0000 0.0000 0.5000 1
Ho1 Ho 0.0531 0.1823 0.3035 1
Ho2 Ho 0.0665 0.8720 0.9045 1
```



Computed, not measured: an optimized crystal structure of La4Nd5Ho at the GGA-PBE level of DFT.

Output
* DOS(E_F): 12.90 states/eV/f.u.
* spin magnetization: 0.000 μB per atom
* calculated total energy: -4.657 eV per atom
* E above lowest polymorph: 0.03 eV/f.u.

Geometry as CIF:
```
data_La4Nd5Ho
_chemical_formula_sum 'La8 Nd10 Ho2'
_cell_length_a 9.340
_cell_length_b 9.340
_cell_length_c 8.371
_cell_angle_alpha 90.00
_cell_angle_beta 90.00
_cell_angle_gamma 90.00
_symmetry_space_group_name_H-M 'P 4/n m m'
_symmetry_Int_Tables_number 129
loop_
_symmetry_equiv_pos_as_xyz
'x,y,z'
'-x,-y,-z'
'-y+1/2,x,z'
'y+1/2,-x,-z'
'-x+1/2,-y+1/2,z'
'x+1/2,y+1/2,-z'
'y,-x+1/2,z'
'-y,x+1/2,-z'
'x+1/2,-y,-z'
'-x+1/2,y,z'
'-y,-x,-z'
'y,x,z'
'-x,y+1/2,-z'
'x,-y+1/2,z'
'y+1/2,x+1/2,-z'
'-y+1/2,-x+1/2,z'
loop_
_atom_site_label
_atom_site_type_symbol
_atom_site_fract_x
_atom_site_fract_y
_atom_site_fract_z
_atom_site_occupancy
La1 La 0.025 0.750 0.095 1
Nd1 Nd 0.062 0.062 0.319 1
Nd2 Nd 0.250 0.750 0.500 1
Ho1 Ho 0.250 0.250 0.618 1
```



Computed, not measured: an optimized crystal structure of La2Nd2Ho5 at the GGA-PBE level of DFT.

Output
* DOS(E_F): 15.60 states/eV/f.u.
* spin magnetization: 0.000 μB per atom
* calculated total energy: -4.555 eV per atom
* E above lowest polymorph: 0.00 eV/f.u.

Geometry as CIF:
```
data_La2Nd2Ho5
_chemical_formula_sum 'La4 Nd4 Ho10'
_cell_length_a 17.771
_cell_length_b 3.500
_cell_length_c 9.885
_cell_angle_alpha 90.00
_cell_angle_beta 98.66
_cell_angle_gamma 90.00
_symmetry_space_group_name_H-M 'C 1 2/m 1'
_symmetry_Int_Tables_number 12
loop_
_symmetry_equiv_pos_as_xyz
'x,y,z'
'-x,-y,-z'
'-x,y,-z'
'x,-y,z'
'x+1/2,y+1/2,z'
'-x+1/2,-y+1/2,-z'
'-x+1/2,y+1/2,-z'
'x+1/2,-y+1/2,z'
loop_
_atom_site_label
_atom_site_type_symbol
_atom_site_fract_x
_atom_site_fract_y
_atom_site_fract_z
_atom_site_occupancy
La1 La 0.165 0.000 0.220 1
Nd1 Nd 0.005 0.500 0.688 1
Ho1 Ho 0.000 0.000 0.000 1
Ho2 Ho 0.171 0.500 0.541 1
Ho3 Ho 0.173 0.000 0.864 1
```



Computed, not measured: an optimized crystal structure of La6NdHo3 at the GGA-PBE level of DFT.

Output
* DOS(E_F): 14.69 states/eV/f.u.
* spin magnetization: 0.000 μB per atom
* calculated total energy: -4.684 eV per atom

Geometry as CIF:
```
data_La6NdHo3
_chemical_formula_sum 'La24 Nd4 Ho12'
_cell_length_a 10.859
_cell_length_b 19.740
_cell_length_c 6.493
_cell_angle_alpha 90.00
_cell_angle_beta 90.00
_cell_angle_gamma 90.00
_symmetry_space_group_name_H-M 'C m c 21'
_symmetry_Int_Tables_number 36
loop_
_symmetry_equiv_pos_as_xyz
'x,y,z'
'-x,-y,z+1/2'
'-x,y,z'
'x,-y,z+1/2'
'x+1/2,y+1/2,z'
'-x+1/2,-y+1/2,z+1/2'
'-x+1/2,y+1/2,z'
'x+1/2,-y+1/2,z+1/2'
loop_
_atom_site_label
_atom_site_type_symbol
_atom_site_fract_x
_atom_site_fract_y
_atom_site_fract_z
_atom_site_occupancy
La1 La 0.000 0.030 0.000 1
La2 La 0.000 0.287 0.202 1
La3 La 0.175 0.460 0.320 1
La4 La 0.219 0.290 0.509 1
Nd1 Nd 0.000 0.184 0.791 1
Ho1 Ho 0.000 0.387 0.779 1
Ho2 Ho 0.170 0.118 0.399 1
```



Computed, not measured: an optimized crystal structure of LaNd2Ho3 at the GGA-PBE level of DFT.

Output
* DOS(E_F): 9.47 states/eV/f.u.
* spin magnetization: 0.000 μB per atom
* calculated total energy: -4.580 eV per atom
* E above lowest polymorph: 0.57 eV/f.u.

Geometry as CIF:
```
data_LaNd2Ho3
_chemical_formula_sum 'La4 Nd8 Ho12'
_cell_length_a 23.320
_cell_length_b 3.539
_cell_length_c 10.475
_cell_angle_alpha 90.00
_cell_angle_beta 108.81
_cell_angle_gamma 90.00
_symmetry_space_group_name_H-M 'C 1 2/m 1'
_symmetry_Int_Tables_number 12
loop_
_symmetry_equiv_pos_as_xyz
'x,y,z'
'-x,-y,-z'
'-x,y,-z'
'x,-y,z'
'x+1/2,y+1/2,z'
'-x+1/2,-y+1/2,-z'
'-x+1/2,y+1/2,-z'
'x+1/2,-y+1/2,z'
loop_
_atom_site_label
_atom_site_type_symbol
_atom_site_fract_x
_atom_site_fract_y
_atom_site_fract_z
_atom_site_occupancy
La1 La 0.186 0.000 0.036 1
Nd1 Nd 0.065 0.500 0.143 1
Nd2 Nd 0.191 0.000 0.372 1
Ho1 Ho 0.060 0.000 0.450 1
Ho2 Ho 0.068 0.500 0.756 1
Ho3 Ho 0.196 0.000 0.716 1
```



Computed, not measured: an optimized crystal structure of La7Nd4Ho at the GGA-PBE level of DFT.

Output
* DOS(E_F): 20.31 states/eV/f.u.
* spin magnetization: 0.000 μB per atom
* calculated total energy: -4.634 eV per atom
* E above lowest polymorph: 2.33 eV/f.u.

Geometry as CIF:
```
data_La7Nd4Ho
_chemical_formula_sum 'La14 Nd8 Ho2'
_cell_length_a 16.933
_cell_length_b 6.148
_cell_length_c 9.869
_cell_angle_alpha 90.00
_cell_angle_beta 122.56
_cell_angle_gamma 90.00
_symmetry_space_group_name_H-M 'C 1 2/m 1'
_symmetry_Int_Tables_number 12
loop_
_symmetry_equiv_pos_as_xyz
'x,y,z'
'-x,-y,-z'
'-x,y,-z'
'x,-y,z'
'x+1/2,y+1/2,z'
'-x+1/2,-y+1/2,-z'
'-x+1/2,y+1/2,-z'
'x+1/2,-y+1/2,z'
loop_
_atom_site_label
_atom_site_type_symbol
_atom_site_fract_x
_atom_site_fract_y
_atom_site_fract_z
_atom_site_occupancy
La1 La 0.000 0.000 0.000 1
La2 La 0.075 0.500 0.423 1
La3 La 0.187 0.500 0.897 1
La4 La 0.229 0.000 0.685 1
Nd1 Nd 0.041 0.000 0.718 1
Nd2 Nd 0.187 0.000 0.323 1
Ho1 Ho 0.000 0.500 0.000 1
```